[1]
A plane-wave DFT calculation with PBE was carried out for Ac8Pm3Er after structural relaxation.

Output
Formation energy in kJ/mol of formula units: 690
Fermi-level density of states in states/eV per atom: 1.678
Calculated volume in Å³ per cell: 1114

Cell and atoms, written as CIF:
```
data_Ac8Pm3Er
_space_group_name_H-M_alt 'I -4 2 m'
_space_group_IT_number 121
_space_group_name_Hall 'I -4 2'
_cell_length_a 9.314
_cell_length_b 9.314
_cell_length_c 12.844
_cell_angle_alpha 90.00
_cell_angle_beta 90.00
_cell_angle_gamma 90.00
loop_
_atom_site_label
_atom_site_fract_x
_atom_site_fract_y
_atom_site_fract_z
Ac1 0.131 0.131 0.246
Ac2 0.248 0.248 0.995
Pm1 0.000 0.000 0.500
Pm2 0.000 0.500 0.250
Er1 0.000 0.000 0.000
```



[2]
A plane-wave DFT calculation with PBE was carried out for Cs4Y3TmTe8 after structural relaxation.

Output
Energy relative to the elements, uncorrected in kJ/mol of atoms: -134.2
Calculated volume in Å³ per cell: 1914

Cell and atoms, written as CIF:
```
data_Cs4Y3TmTe8
_space_group_name_H-M_alt 'R -3 m'
_space_group_IT_number 166
_space_group_name_Hall '-R 3 2"'
_cell_length_a 9.0909
_cell_length_b 9.0909
_cell_length_c 26.7391
_cell_angle_alpha 90.00
_cell_angle_beta 90.00
_cell_angle_gamma 120.00
loop_
_atom_site_label
_atom_site_fract_x
_atom_site_fract_y
_atom_site_fract_z
Cs1 0.0000 0.0000 0.0000
Cs2 0.0000 0.5000 0.0000
Y1 0.0000 0.5000 0.5000
Tm1 0.0000 0.0000 0.5000
Te1 0.0000 0.0000 0.2301
Te2 0.0029 0.5015 0.2297
```



[3]
A plane-wave DFT calculation with PBE was carried out for KLi2In after structural relaxation.

Output
Formation energy in kJ/mol of formula units: 35
Fermi-level density of states in states/eV per atom: 0.813
Calculated volume in Å³ per cell: 478

Cell and atoms, written as CIF:
```
data_KLi2In
_space_group_name_H-M_alt 'F -4 3 m'
_space_group_IT_number 216
_space_group_name_Hall 'F -4 2 3'
_cell_length_a 7.821
_cell_length_b 7.821
_cell_length_c 7.821
_cell_angle_alpha 90.00
_cell_angle_beta 90.00
_cell_angle_gamma 90.00
loop_
_atom_site_label
_atom_site_fract_x
_atom_site_fract_y
_atom_site_fract_z
K1 0.000 0.000 0.000
Li1 0.000 0.000 0.500
Li2 0.250 0.250 0.250
In1 0.250 0.250 0.750
```



[4]
A plane-wave DFT calculation with PBE was carried out for Tb5Dy3Ho2 after structural relaxation.

Output
Formation energy in kJ/mol of formula units: 195
Fermi-level density of states in states/eV per atom: 1.968
Calculated volume in Å³ per cell: 1299

Cell and atoms, written as CIF:
```
data_Tb5Dy3Ho2
_space_group_name_H-M_alt 'C 1 2/c 1'
_space_group_IT_number 15
_space_group_name_Hall '-C 2yc'
_cell_length_a 10.574
_cell_length_b 15.609
_cell_length_c 9.472
_cell_angle_alpha 90.00
_cell_angle_beta 123.79
_cell_angle_gamma 90.00
loop_
_atom_site_label
_atom_site_fract_x
_atom_site_fract_y
_atom_site_fract_z
Tb1 0.000 0.022 0.250
Tb2 0.000 0.276 0.750
Tb3 0.000 0.472 0.750
Tb4 0.229 0.377 0.210
Dy1 0.000 0.230 0.250
Dy2 0.138 0.128 0.046
Ho1 0.159 0.378 0.547
```



[5]
A plane-wave DFT calculation with PBE was carried out for Y2CdFeGe after structural relaxation.

Output
Formation energy in kJ/mol of formula units: -76
Fermi-level density of states in states/eV per atom: 1.224
Calculated volume in Å³ per cell: 117

Cell and atoms, written as CIF:
```
data_Y2CdFeGe
_space_group_name_H-M_alt 'P 4/m m m'
_space_group_IT_number 123
_space_group_name_Hall '-P 4 2'
_cell_length_a 5.097
_cell_length_b 5.097
_cell_length_c 4.484
_cell_angle_alpha 90.00
_cell_angle_beta 90.00
_cell_angle_gamma 90.00
loop_
_atom_site_label
_atom_site_fract_x
_atom_site_fract_y
_atom_site_fract_z
Y1 0.000 0.500 0.000
Cd1 0.000 0.000 0.500
Fe1 0.500 0.500 0.000
Ge1 0.500 0.500 0.500
```



[6]
A plane-wave DFT calculation with PBE was carried out for K2TbCuI6 after structural relaxation.

Output
Fermi-level density of states in states/eV per atom: 0.000
Energy relative to the elements, uncorrected in kJ/mol of atoms: -109.0
Calculated volume in Å³ per cell: 845

Cell and atoms, written as CIF:
```
data_K2TbCuI6
_space_group_name_H-M_alt 'P 1 21/c 1'
_space_group_IT_number 14
_space_group_name_Hall '-P 2ybc'
_cell_length_a 8.491
_cell_length_b 9.437
_cell_length_c 13.465
_cell_angle_alpha 90.00
_cell_angle_beta 128.47
_cell_angle_gamma 90.00
loop_
_atom_site_label
_atom_site_fract_x
_atom_site_fract_y
_atom_site_fract_z
K1 0.217 0.102 0.246
Tb1 0.000 0.000 0.500
Cu1 0.500 0.000 0.000
I1 0.111 0.220 0.949
I2 0.248 0.660 0.946
I3 0.392 0.031 0.783
```



[7]
A plane-wave DFT calculation with PBE was carried out for AcTlSn after structural relaxation.

Output
Formation energy in kJ/mol of formula units: -68
Fermi-level density of states in states/eV per atom: 1.057
Calculated volume in Å³ per cell: 111

Cell and atoms, written as CIF:
```
data_AcTlSn
_space_group_name_H-M_alt 'P m m m'
_space_group_IT_number 47
_space_group_name_Hall '-P 2 2'
_cell_length_a 4.496
_cell_length_b 4.695
_cell_length_c 5.240
_cell_angle_alpha 90.00
_cell_angle_beta 90.00
_cell_angle_gamma 90.00
loop_
_atom_site_label
_atom_site_fract_x
_atom_site_fract_y
_atom_site_fract_z
Ac1 0.000 0.000 0.000
Tl1 0.000 0.500 0.500
Sn1 0.500 0.000 0.500
```



[8]
A plane-wave DFT calculation with PBE was carried out for Hf2VInIr after structural relaxation.

Output
Formation energy in kJ/mol of formula units: 766
Fermi-level density of states in states/eV per atom: 1.150
Calculated volume in Å³ per cell: 128

Cell and atoms, written as CIF:
```
data_Hf2VInIr
_space_group_name_H-M_alt 'P 4/m m m'
_space_group_IT_number 123
_space_group_name_Hall '-P 4 2'
_cell_length_a 5.158
_cell_length_b 5.158
_cell_length_c 4.805
_cell_angle_alpha 90.00
_cell_angle_beta 90.00
_cell_angle_gamma 90.00
loop_
_atom_site_label
_atom_site_fract_x
_atom_site_fract_y
_atom_site_fract_z
Hf1 0.000 0.500 0.000
V1 0.000 0.000 0.500
In1 0.500 0.500 0.000
Ir1 0.500 0.500 0.500
```



> Among the records above, which one has the highest calculated volume?

Cs4Y3TmTe8